Crystalline BeGe at its relaxed geometry. Source: Alexandria, functional PBE-GGA.

a b c (Å): 3.852 11.383 4.083
angles (deg): 90.00 90.00 90.00
Space group Pmmn (No. 59, origin choice 2)
Asymmetric unit:
Be 0.250 0.036 0.094 [4 per cell]
Be 0.250 0.750 0.327 [2 per cell]
Ge 0.250 0.250 0.018 [2 per cell]
Ge 0.250 0.582 0.619 [4 per cell]

Output
Total moment in μB/f.u.: 0.00
Energy of formation in kJ/mol of formula units: 69

=====

Crystalline BeGe at its relaxed geometry. Source: Alexandria, functional PBE-GGA.

a b c (Å): 8.268 8.268 3.847
angles (deg): 90.00 90.00 90.00
Space group P4/m (No. 83)
Asymmetric unit:
Be 0.007 0.651 0.000 [4 per cell]
Be 0.135 0.640 0.500 [4 per cell]
Ge 0.137 0.295 0.500 [4 per cell]
Ge 0.263 0.522 0.000 [4 per cell]

Output
Total moment in μB/f.u.: 0.00
Energy of formation in kJ/mol of formula units: 76